(1)
# TbThGaAu | Alexandria via LeMat-Bulk | PBE | optimized geometry
data_TbThGaAu
_cell_length_a 7.3589
_cell_length_b 7.3589
_cell_length_c 7.3589
_cell_angle_alpha 90.00
_cell_angle_beta 90.00
_cell_angle_gamma 90.00
_space_group_name_H-M_alt 'F -4 3 m'
_space_group_IT_number 216
_space_group_name_Hall 'F -4 2 3'
loop_
_atom_site_label
_atom_site_type_symbol
_atom_site_fract_x
_atom_site_fract_y
_atom_site_fract_z
Tb1 Tb 0.0000 0.0000 0.0000
Th1 Th 0.0000 0.0000 0.5000
Ga1 Ga 0.2500 0.2500 0.7500
Au1 Au 0.2500 0.2500 0.2500
# Volume ... 24.91 A^3/atom
# Energy above the most stable polymorph in this dataset ... 80.2 meV per atom
# Total magnetization ... 0.98 μB/f.u.
# Density of states at the Fermi level ... 3.71 states/eV/f.u.
# Formation enthalpy at 0 K ... -0.54 eV/atom



(2)
# LuAl3Pb2O8 | Alexandria via LeMat-Bulk | PBE | optimized geometry
data_LuAl3Pb2O8
_cell_length_a 9.4837
_cell_length_b 9.4837
_cell_length_c 9.4837
_cell_angle_alpha 90.00
_cell_angle_beta 90.00
_cell_angle_gamma 90.00
_space_group_name_H-M_alt 'P n -3 m'
_space_group_IT_number 224
loop_
_space_group_symop_operation_xyz
'x,y,z'
'-x,-y,-z'
'-y,x+1/2,z+1/2'
'y,-x+1/2,-z+1/2'
'-x+1/2,-y+1/2,z'
'x+1/2,y+1/2,-z'
'y+1/2,-x,z+1/2'
'-y+1/2,x,-z+1/2'
'x,-y+1/2,-z+1/2'
'-x,y+1/2,z+1/2'
'-y,-x,-z'
'y,x,z'
'-x+1/2,y,-z+1/2'
'x+1/2,-y,z+1/2'
'y+1/2,x+1/2,-z'
'-y+1/2,-x+1/2,z'
'z,x,y'
'-z,-x,-y'
'z+1/2,-y,x+1/2'
'-z+1/2,y,-x+1/2'
'z,-x+1/2,-y+1/2'
'-z,x+1/2,y+1/2'
'z+1/2,y+1/2,-x'
'-z+1/2,-y+1/2,x'
'-z+1/2,x,-y+1/2'
'z+1/2,-x,y+1/2'
'-z,-y,-x'
'z,y,x'
'-z+1/2,-x+1/2,y'
'z+1/2,x+1/2,-y'
'-z,y+1/2,x+1/2'
'z,-y+1/2,-x+1/2'
'y,z,x'
'-y,-z,-x'
'x+1/2,z+1/2,-y'
'-x+1/2,-z+1/2,y'
'-y+1/2,z,-x+1/2'
'y+1/2,-z,x+1/2'
'-x,z+1/2,y+1/2'
'x,-z+1/2,-y+1/2'
'-y+1/2,-z+1/2,x'
'y+1/2,z+1/2,-x'
'-x,-z,-y'
'x,z,y'
'y,-z+1/2,-x+1/2'
'-y,z+1/2,x+1/2'
'x+1/2,-z,y+1/2'
'-x+1/2,z,-y+1/2'
loop_
_atom_site_label
_atom_site_type_symbol
_atom_site_fract_x
_atom_site_fract_y
_atom_site_fract_z
Lu1 Lu 0.0000 0.0000 0.0000
Al1 Al 0.0000 0.2500 0.7500
Pb1 Pb 0.1155 0.1155 0.3845
O1 O 0.0898 0.0898 0.7659
O2 O 0.1349 0.1349 0.1349
# E_form (uncorrected) ... -2.583 eV/atom
# Volume ... 15.23 A^3/atom
# Total magnetization ... 0.00 μB/f.u.
# Density of states at the Fermi level ... 0.00 states/eV/f.u.



(3)
# Sr4PCl6 | Alexandria via LeMat-Bulk | PBE | optimized geometry
data_Sr4PCl6
_cell_length_a 10.0298
_cell_length_b 10.0298
_cell_length_c 6.9723
_cell_angle_alpha 90.00
_cell_angle_beta 90.00
_cell_angle_gamma 90.00
_space_group_name_H-M_alt 'P 42/n m c'
_space_group_IT_number 137
loop_
_space_group_symop_operation_xyz
'x,y,z'
'-x,-y,-z'
'-y+1/2,x,z+1/2'
'y+1/2,-x,-z+1/2'
'-x+1/2,-y+1/2,z'
'x+1/2,y+1/2,-z'
'y,-x+1/2,z+1/2'
'-y,x+1/2,-z+1/2'
'x+1/2,-y,-z'
'-x+1/2,y,z'
'-y,-x,-z+1/2'
'y,x,z+1/2'
'-x,y+1/2,-z'
'x,-y+1/2,z'
'y+1/2,x+1/2,-z+1/2'
'-y+1/2,-x+1/2,z+1/2'
loop_
_atom_site_label
_atom_site_type_symbol
_atom_site_fract_x
_atom_site_fract_y
_atom_site_fract_z
Sr1 Sr 0.0120 0.2500 0.0537
P1 P 0.2500 0.7500 0.7500
Cl1 Cl 0.0396 0.5396 0.2500
Cl2 Cl 0.2500 0.2500 0.3048
# E_form (uncorrected) ... -2.082 eV/atom
# Volume ... 31.88 A^3/atom
# Total magnetization ... 1.03 μB/f.u.
# Density of states at the Fermi level ... 0.58 states/eV/f.u.



(4)
# K3NdPa3Te8 | Alexandria via LeMat-Bulk | PBE | optimized geometry
data_K3NdPa3Te8
_cell_length_a 8.8444
_cell_length_b 8.8444
_cell_length_c 25.4831
_cell_angle_alpha 90.00
_cell_angle_beta 90.00
_cell_angle_gamma 120.00
_space_group_name_H-M_alt 'R -3 m'
_space_group_IT_number 166
_space_group_name_Hall '-R 3 2"'
loop_
_atom_site_label
_atom_site_type_symbol
_atom_site_fract_x
_atom_site_fract_y
_atom_site_fract_z
K1 K 0.0000 0.5000 0.0000
Nd1 Nd 0.0000 0.0000 0.5000
Pa1 Pa 0.0000 0.5000 0.5000
Te1 Te 0.0000 0.0000 0.2381
Te2 Te 0.0100 0.5050 0.7618
# E_form (uncorrected) ... -1.032 eV/atom
# Volume ... 38.36 A^3/atom
# Total magnetization ... 5.04 μB/f.u.
# Density of states at the Fermi level ... 20.73 states/eV/f.u.



(5)
# La2Nd3Y6Mg | Alexandria via LeMat-Bulk | PBE | optimized geometry
data_La2Nd3Y6Mg
_cell_length_a 6.2422
_cell_length_b 10.8126
_cell_length_c 11.9300
_cell_angle_alpha 90.00
_cell_angle_beta 100.07
_cell_angle_gamma 90.00
_space_group_name_H-M_alt 'C 1 2/m 1'
_space_group_IT_number 12
loop_
_space_group_symop_operation_xyz
'x,y,z'
'-x,-y,-z'
'-x,y,-z'
'x,-y,z'
'x+1/2,y+1/2,z'
'-x+1/2,-y+1/2,-z'
'-x+1/2,y+1/2,-z'
'x+1/2,-y+1/2,z'
loop_
_atom_site_label
_atom_site_type_symbol
_atom_site_fract_x
_atom_site_fract_y
_atom_site_fract_z
La1 La 0.0000 0.1663 0.0000
Nd1 Nd 0.0000 0.0000 0.5000
Nd2 Nd 0.0000 0.3341 0.5000
Y1 Y 0.2477 0.3349 0.2492
Y2 Y 0.2477 0.5000 0.7498
Mg1 Mg 0.0000 0.5000 0.0000
# Volume ... 33.03 A^3/atom
# Total magnetization ... 0.00 μB/f.u.
# Density of states at the Fermi level ... 18.80 states/eV/f.u.
# Formation enthalpy at 0 K ... 0.01 eV/atom



(6)
# K2Pd2Br7 | Alexandria via LeMat-Bulk | PBE | optimized geometry
data_K2Pd2Br7
_cell_length_a 10.0057
_cell_length_b 15.9976
_cell_length_c 4.7595
_cell_angle_alpha 90.00
_cell_angle_beta 97.67
_cell_angle_gamma 90.00
_space_group_name_H-M_alt 'C 1 2/m 1'
_space_group_IT_number 12
loop_
_space_group_symop_operation_xyz
'x,y,z'
'-x,-y,-z'
'-x,y,-z'
'x,-y,z'
'x+1/2,y+1/2,z'
'-x+1/2,-y+1/2,-z'
'-x+1/2,y+1/2,-z'
'x+1/2,-y+1/2,z'
loop_
_atom_site_label
_atom_site_type_symbol
_atom_site_fract_x
_atom_site_fract_y
_atom_site_fract_z
K1 K 0.0000 0.2172 0.0000
Pd1 Pd 0.2461 0.5000 0.3689
Br1 Br 0.0000 0.5000 0.5000
Br2 Br 0.1654 0.0000 0.1014
Br3 Br 0.2463 0.1557 0.6314
# E_form (uncorrected) ... -0.740 eV/atom
# Volume ... 34.32 A^3/atom
# Total magnetization ... 0.00 μB/f.u.
# Density of states at the Fermi level ... 3.52 states/eV/f.u.



(7)
# KZrSiBr2 | Alexandria via LeMat-Bulk | PBE | optimized geometry
data_KZrSiBr2
_cell_length_a 5.5334
_cell_length_b 5.5334
_cell_length_c 5.1964
_cell_angle_alpha 90.00
_cell_angle_beta 90.00
_cell_angle_gamma 90.00
_space_group_name_H-M_alt 'P 4/m m m'
_space_group_IT_number 123
_space_group_name_Hall '-P 4 2'
loop_
_atom_site_label
_atom_site_type_symbol
_atom_site_fract_x
_atom_site_fract_y
_atom_site_fract_z
K1 K 0.0000 0.0000 0.0000
Zr1 Zr 0.5000 0.5000 0.5000
Si1 Si 0.5000 0.5000 0.0000
Br1 Br 0.0000 0.5000 0.5000
# E_form (uncorrected) ... -0.535 eV/atom
# Volume ... 31.82 A^3/atom
# Total magnetization ... 0.65 μB/f.u.
# Density of states at the Fermi level ... 5.20 states/eV/f.u.



(8)
# Li2Ni3B | Alexandria via LeMat-Bulk | PBE | optimized geometry
data_Li2Ni3B
_cell_length_a 6.2923
_cell_length_b 6.2923
_cell_length_c 6.2923
_cell_angle_alpha 90.00
_cell_angle_beta 90.00
_cell_angle_gamma 90.00
_space_group_name_H-M_alt 'P 41 3 2'
_space_group_IT_number 213
_space_group_name_Hall 'P 4bd 2ab 3'
loop_
_atom_site_label
_atom_site_type_symbol
_atom_site_fract_x
_atom_site_fract_y
_atom_site_fract_z
Li1 Li 0.0484 0.0484 0.0484
Ni1 Ni 0.0614 0.8750 0.6886
B1 B 0.1250 0.6250 0.8750
# Volume ... 10.38 A^3/atom
# Energy above the most stable polymorph in this dataset ... 0.0 meV per atom
# Total magnetization ... 0.00 μB/f.u.
# Density of states at the Fermi level ... 3.88 states/eV/f.u.
# Formation enthalpy at 0 K ... -0.21 eV/atom



(9)
# K2MgCr | Alexandria via LeMat-Bulk | PBE | optimized geometry
data_K2MgCr
_cell_length_a 7.0924
_cell_length_b 11.1466
_cell_length_c 3.8132
_cell_angle_alpha 90.00
_cell_angle_beta 90.17
_cell_angle_gamma 90.00
_space_group_name_H-M_alt 'C 1 2/m 1'
_space_group_IT_number 12
loop_
_space_group_symop_operation_xyz
'x,y,z'
'-x,-y,-z'
'-x,y,-z'
'x,-y,z'
'x+1/2,y+1/2,z'
'-x+1/2,-y+1/2,-z'
'-x+1/2,y+1/2,-z'
'x+1/2,-y+1/2,z'
loop_
_atom_site_label
_atom_site_type_symbol
_atom_site_fract_x
_atom_site_fract_y
_atom_site_fract_z
K1 K 0.2500 0.2500 0.0000
Mg1 Mg 0.0000 0.0000 0.5000
Cr1 Cr 0.0000 0.5000 0.5000
# Volume ... 37.68 A^3/atom
# Total magnetization ... 4.89 μB/f.u.
# Density of states at the Fermi level ... 2.17 states/eV/f.u.
# Formation enthalpy at 0 K ... 0.74 eV/atom